(1)
Compound: Sc2RuPt
Source: Alexandria
Functional: PBE-GGA
Structure: optimized geometry

energy of formation from the pure elements: -2.94 eV/f.u.
space group: No. 8
density: 9045 kg/m³

Cell and atoms, written as CIF:
```
data_Sc2RuPt
_cell_length_a 5.2036
_cell_length_b 5.2036
_cell_length_c 4.4584
_cell_angle_alpha 102.60
_cell_angle_beta 102.60
_cell_angle_gamma 37.11
_symmetry_space_group_name_H-M 'P 1'
_symmetry_Int_Tables_number 1
_symmetry_space_group_name_Hall 'P 1'
loop_
_atom_site_label
_atom_site_fract_x
_atom_site_fract_y
_atom_site_fract_z
Sc1 0.0000 0.0000 0.0000
Sc2 0.2350 0.2350 0.6147
Ru1 0.7369 0.7369 0.1092
Pt1 0.4991 0.4991 0.5002
```


(2)
Compound: Sc2RuPt
Source: Alexandria
Functional: PBE-GGA
Structure: optimized geometry

energy of formation from the pure elements: -3.98 eV/f.u.
space group: No. 123
density: 9369 kg/m³

Cell and atoms, written as CIF:
```
data_Sc2RuPt
_cell_length_a 3.2848
_cell_length_b 3.2848
_cell_length_c 6.3415
_cell_angle_alpha 90.00
_cell_angle_beta 90.00
_cell_angle_gamma 90.00
_symmetry_space_group_name_H-M 'P 1'
_symmetry_Int_Tables_number 1
_symmetry_space_group_name_Hall 'P 1'
loop_
_atom_site_label
_atom_site_fract_x
_atom_site_fract_y
_atom_site_fract_z
Sc1 0.0000 0.0000 0.2425
Sc2 0.0000 0.0000 0.7575
Ru1 0.5000 0.5000 0.0000
Pt1 0.5000 0.5000 0.5000
```


(3)
Compound: ScRu4Pt
Source: Alexandria
Functional: PBE-GGA
Structure: optimized geometry

energy of formation from the pure elements: 0.31 eV/f.u.
space group: No. 216
density: 11249 kg/m³

Cell and atoms, written as CIF:
```
data_ScRu4Pt
_cell_length_a 5.1237
_cell_length_b 5.1237
_cell_length_c 5.1237
_cell_angle_alpha 60.00
_cell_angle_beta 60.00
_cell_angle_gamma 60.00
_symmetry_space_group_name_H-M 'P 1'
_symmetry_Int_Tables_number 1
_symmetry_space_group_name_Hall 'P 1'
loop_
_atom_site_label
_atom_site_fract_x
_atom_site_fract_y
_atom_site_fract_z
Sc1 0.0000 0.0000 0.0000
Ru1 0.1281 0.6240 0.6240
Ru2 0.6240 0.1281 0.6240
Ru3 0.6240 0.6240 0.1281
Ru4 0.6240 0.6240 0.6240
Pt1 0.2500 0.2500 0.2500
```


(4)
Compound: Sc2RuPt
Source: Alexandria
Functional: PBE-GGA
Structure: optimized geometry

energy of formation from the pure elements: -0.32 eV/f.u.
space group: No. 122
density: 8160 kg/m³

Cell and atoms, written as CIF:
```
data_Sc2RuPt
_cell_length_a 9.0366
_cell_length_b 9.0366
_cell_length_c 9.0366
_cell_angle_alpha 152.49
_cell_angle_beta 152.49
_cell_angle_gamma 39.29
_symmetry_space_group_name_H-M 'P 1'
_symmetry_Int_Tables_number 1
_symmetry_space_group_name_Hall 'P 1'
loop_
_atom_site_label
_atom_site_fract_x
_atom_site_fract_y
_atom_site_fract_z
Sc1 0.1155 0.6250 0.9905
Sc2 0.3750 0.3655 0.4905
Sc3 0.6345 0.1250 0.0095
Sc4 0.8750 0.8845 0.5095
Ru1 0.0000 0.0000 0.0000
Ru2 0.7500 0.2500 0.5000
Pt1 0.2500 0.7500 0.5000
Pt2 0.5000 0.5000 0.0000
```